1.
# Co5Pd (GGA-PBE, optimized geometry)
# Space group = C2/m (12)
# Size of the total moment = 8.853 μB per cell
# Formation energy from the elements = 0.06 eV per atom
# Volume = 11.768 Å³ per atom
data_Co5Pd
_space_group_name_H-M_alt 'P 1'
_space_group_IT_number 1
_cell_length_a 3.596
_cell_length_b 4.420
_cell_length_c 5.127
_cell_angle_alpha 106.80
_cell_angle_beta 90.00
_cell_angle_gamma 114.00
loop_
_space_group_symop_operation_xyz
'x,y,z'
loop_
_atom_site_label
_atom_site_fract_x
_atom_site_fract_y
_atom_site_fract_z
Co1 0.308 0.615 0.127
Co2 0.637 0.274 0.762
Co3 0.299 0.598 0.598
Co4 0.646 0.291 0.290
Pd1 0.972 0.944 0.944
Co5 0.972 0.944 0.444


2.
# CoPd (GGA-PBE, optimized geometry)
# Space group = F-43m (216)
# Size of the total moment = 9.844 μB per cell
# Formation energy from the elements = 1.12 eV per atom
# Volume = 20.046 Å³ per atom
data_CoPd
_space_group_name_H-M_alt 'P 1'
_space_group_IT_number 1
_cell_length_a 5.433
_cell_length_b 5.433
_cell_length_c 5.433
_cell_angle_alpha 90.00
_cell_angle_beta 90.00
_cell_angle_gamma 90.00
loop_
_space_group_symop_operation_xyz
'x,y,z'
loop_
_atom_site_label
_atom_site_fract_x
_atom_site_fract_y
_atom_site_fract_z
Co1 0.250 0.750 0.750
Co2 0.750 0.250 0.750
Co3 0.250 0.250 0.250
Pd1 0.500 0.000 0.500
Pd2 0.500 0.500 0.000
Pd3 0.000 0.000 0.000
Pd4 0.000 0.500 0.500
Co4 0.750 0.750 0.250


3.
# Co4Pd3 (GGA-PBE, optimized geometry)
# Space group = I4/mmm (139)
# Size of the total moment = 7.835 μB per cell
# Formation energy from the elements = 0.03 eV per atom
# Volume = 12.955 Å³ per atom
data_Co4Pd3
_space_group_name_H-M_alt 'P 1'
_space_group_IT_number 1
_cell_length_a 2.669
_cell_length_b 2.669
_cell_length_c 12.866
_cell_angle_alpha 95.95
_cell_angle_beta 95.95
_cell_angle_gamma 90.00
loop_
_space_group_symop_operation_xyz
'x,y,z'
loop_
_atom_site_label
_atom_site_fract_x
_atom_site_fract_y
_atom_site_fract_z
Co1 0.134 0.134 0.269
Co2 0.574 0.574 0.149
Pd1 0.000 0.000 0.000
Pd2 0.292 0.292 0.584
Pd3 0.708 0.708 0.416
Co3 0.426 0.426 0.851
Co4 0.866 0.866 0.731


4.
# CoPd (GGA-PBE, optimized geometry)
# Space group = P4_2/mnm (136)
# Size of the total moment = 9.643 μB per cell
# Formation energy from the elements = 0.55 eV per atom
# Volume = 15.174 Å³ per atom
data_CoPd
_space_group_name_H-M_alt 'P 1'
_space_group_IT_number 1
_cell_length_a 4.931
_cell_length_b 4.931
_cell_length_c 4.993
_cell_angle_alpha 90.00
_cell_angle_beta 90.00
_cell_angle_gamma 90.00
loop_
_space_group_symop_operation_xyz
'x,y,z'
loop_
_atom_site_label
_atom_site_fract_x
_atom_site_fract_y
_atom_site_fract_z
Co1 0.676 0.676 0.500
Pd1 0.689 0.689 0.000
Pd2 0.311 0.311 0.000
Co2 0.176 0.824 0.000
Pd3 0.189 0.811 0.500
Co3 0.824 0.176 0.000
Pd4 0.811 0.189 0.500
Co4 0.324 0.324 0.500